# Rb2In3Ga4Sn (GGA-PBE, relaxed)
data_Rb2In3Ga4Sn
_space_group_name_H-M_alt 'P -4 m 2'
_space_group_IT_number 115
_space_group_name_Hall 'P -4 -2'
_cell_length_a 4.855
_cell_length_b 4.855
_cell_length_c 11.983
_cell_angle_alpha 90.00
_cell_angle_beta 90.00
_cell_angle_gamma 90.00
loop_
_atom_site_label
_atom_site_fract_x
_atom_site_fract_y
_atom_site_fract_z
Rb1 0.000 0.500 0.247
In1 0.000 0.500 0.871
In2 0.500 0.500 0.500
Ga1 0.000 0.000 0.000
Ga2 0.000 0.500 0.636
Ga3 0.500 0.500 0.000
Sn1 0.000 0.000 0.500
# - E: -27.354 eV per cell
# - E_form: -0.109 eV per atom
# - D(E_F): 4.756 states/eV per cell

=====

# BeAg2Te (GGA-PBE, relaxed)
data_BeAg2Te
_space_group_name_H-M_alt 'I m m 2'
_space_group_IT_number 44
_space_group_name_Hall 'I 2 -2'
_cell_length_a 3.014
_cell_length_b 4.212
_cell_length_c 12.332
_cell_angle_alpha 90.00
_cell_angle_beta 90.00
_cell_angle_gamma 90.00
loop_
_atom_site_label
_atom_site_fract_x
_atom_site_fract_y
_atom_site_fract_z
Be1 0.000 0.000 0.000
Ag1 0.000 0.000 0.490
Ag2 0.000 0.500 0.333
Te1 0.000 0.500 0.677
# - E: -23.345 eV per cell
# - ΔE to the lowest computed polymorph: 86 meV/atom
# - D(E_F): 2.018 states/eV per cell
# - Formation energy from raw total energies: 224 meV per atom

=====

# LaAl2Ag (GGA-PBE, relaxed)
data_LaAl2Ag
_space_group_name_H-M_alt 'I m m m'
_space_group_IT_number 71
_space_group_name_Hall '-I 2 2'
_cell_length_a 3.061
_cell_length_b 5.659
_cell_length_c 10.381
_cell_angle_alpha 90.00
_cell_angle_beta 90.00
_cell_angle_gamma 90.00
loop_
_atom_site_label
_atom_site_fract_x
_atom_site_fract_y
_atom_site_fract_z
La1 0.000 0.000 0.000
Al1 0.000 0.500 0.221
Ag1 0.000 0.000 0.500
# - E: -31.027 eV per cell
# - ΔE to the lowest computed polymorph: 330 meV/atom
# - E_form: -0.062 eV per atom
# - D(E_F): 5.606 states/eV per cell

=====

# TcH2Pb2 (GGA-PBE, relaxed)
data_TcH2Pb2
_space_group_name_H-M_alt 'P 4/m b m'
_space_group_IT_number 127
_space_group_name_Hall '-P 4 2ab'
_cell_length_a 7.601
_cell_length_b 7.601
_cell_length_c 3.223
_cell_angle_alpha 90.00
_cell_angle_beta 90.00
_cell_angle_gamma 90.00
loop_
_atom_site_label
_atom_site_fract_x
_atom_site_fract_y
_atom_site_fract_z
Tc1 0.000 0.000 0.000
H1 0.036 0.464 0.500
Pb1 0.246 0.746 0.000
# - E: -43.531 eV per cell
# - ΔE to the lowest computed polymorph: 19 meV/atom
# - D(E_F): 3.933 states/eV per cell